[1]
Material: Mn3BePb
Method: DFT, SCAN
State: single point on PBEsol structure

Computed properties:
The total energy is -26.83 eV/atom. The density of states at the Fermi level is 2.21 states/eV/cell. For the spin magnetization, the calculation gives 10.4 μB per formula unit. As for the crystal system: cubic.

```
5
Lattice="4.1731 0.0000 0.0000 0.0000 4.1731 0.0000 0.0000 0.0000 4.1731" Properties=species:S:1:pos:R:3 pbc="T T T"
Mn 2.0866 0.0000 0.0000
Mn 0.0000 0.0000 2.0866
Mn 0.0000 2.0866 0.0000
Be 0.0000 0.0000 0.0000
Pb 2.0866 2.0866 2.0866
```

=====

[2]
Material: MnBe2Pb
Method: DFT, SCAN
State: single point on PBEsol structure

Computed properties:
The total energy is -25.35 eV/atom. The density of states at the Fermi level is 2.33 states/eV/cell. For the spin magnetization, the calculation gives 2.5 μB per formula unit. As for the crystal system: trigonal.

```
4
Lattice="3.6923 0.0000 0.0000 1.8462 3.1976 0.0000 1.8462 1.0659 4.5893" Properties=species:S:1:pos:R:3 pbc="T T T"
Mn 3.6923 2.1318 2.9309
Be 5.5385 3.1976 3.7506
Be 1.8462 1.0659 3.6967
Pb 1.8462 1.0659 1.0949
```

=====

[3]
Material: MnBePb
Method: DFT, SCAN
State: single point on PBEsol structure

Computed properties:
The total energy is -32.39 eV/atom. The density of states at the Fermi level is 1.18 states/eV/cell. For the spin magnetization, the calculation gives 3.6 μB per formula unit. As for the crystal system: cubic.

```
3
Lattice="-1.8549 0.7299 3.7573 1.6519 -1.6678 3.5469 1.8953 2.5215 2.8532" Properties=species:S:1:pos:R:3 pbc="T T T"
Mn 1.2692 1.1877 7.6181
Pb 0.0000 0.0000 0.0000
Be 0.8462 0.7918 5.0787
```

=====

[4]
Material: MnBe2Pt
Method: DFT, SCAN
State: single point on PBEsol structure

Computed properties:
The total energy is -24.89 eV/atom. The density of states at the Fermi level is 1.44 states/eV/cell. For the spin magnetization, the calculation gives 2.5 μB per formula unit. As for the crystal system: tetragonal.

```
4
Lattice="2.7415 0.0000 0.0000 0.0000 2.7415 0.0000 0.0000 0.0000 5.5407" Properties=species:S:1:pos:R:3 pbc="T T T"
Mn 1.3707 1.3707 0.0000
Be 0.0000 0.0000 4.1915
Be 0.0000 0.0000 1.3492
Pt 1.3707 1.3707 2.7703
```

=====

[5]
Material: MnBePt2
Method: DFT, SCAN
State: single point on PBEsol structure

Computed properties:
The total energy is -41.63 eV/atom. The density of states at the Fermi level is 1.24 states/eV/cell. For the spin magnetization, the calculation gives 4.3 μB per formula unit. As for the crystal system: tetragonal.

```
4
Lattice="2.7776 0.0000 0.0000 0.0000 2.7776 0.0000 0.0000 0.0000 6.5965" Properties=species:S:1:pos:R:3 pbc="T T T"
Be 1.3888 1.3888 0.0000
Pt 0.0000 0.0000 5.1597
Pt 0.0000 0.0000 1.4369
Mn 1.3888 1.3888 3.2983
```

=====

[6]
Material: MnBe2Pt
Method: DFT, SCAN
State: single point on PBEsol structure

Computed properties:
The total energy is -24.75 eV/atom. The density of states at the Fermi level is 1.34 states/eV/cell. For the spin magnetization, the calculation gives 3.1 μB per formula unit. As for the crystal system: tetragonal.

```
4
Lattice="-1.6280 -0.0867 2.1542 1.6307 -1.8153 1.1593 2.9845 4.2299 2.4256" Properties=species:S:1:pos:R:3 pbc="T T T"
Pt 2.3450 2.3706 3.5615
Be 0.0835 0.1184 0.0679
Be 0.6831 0.0153 2.2109
Mn 1.3678 1.9386 1.1116
```